1.
Entry from Alexandria via LeMat-Bulk: an optimized crystal structure of TlFeTe (GGA-PBE).

Lattice parameters (Å, degrees): 3.636 3.636 11.484 90.00 90.00 90.00
Space group P4/nmm (No. 129, origin choice 2)
Unique sites:
Tl  0.250  0.250  0.105
Fe  0.250  0.750  0.500
Te  0.250  0.250  0.664

Computed properties:
* ΔE to the lowest computed polymorph: 0.0 meV/atom
* ΔE_f (raw): -0.011 eV/atom

=====

2.
Entry from Alexandria via LeMat-Bulk: an optimized crystal structure of TlFeTe (GGA-PBE).

Lattice parameters (Å, degrees): 4.4717 4.4717 4.7259 90.00 90.00 120.00
Space group P3m1 (No. 156)
Unique sites:
Tl  0.0000  0.0000  0.0000
Fe  0.6667  0.3333  0.4919
Te  0.3333  0.6667  0.5010

Computed properties:
* ΔE to the lowest computed polymorph: 250.5 meV/atom
* ΔE_f (raw): 0.240 eV/atom

=====

3.
Entry from Alexandria via LeMat-Bulk: an optimized crystal structure of TlFeTe4 (GGA-PBE).

Lattice parameters (Å, degrees): 9.081 9.081 9.081 90.00 90.00 90.00
Space group F-43m (No. 216)
Unique sites:
Tl  0.000  0.000  0.000
Fe  0.250  0.250  0.750
Te  0.124  0.124  0.376

Computed properties:
* ΔE_f (raw): 0.662 eV/atom

=====

4.
Entry from Alexandria via LeMat-Bulk: an optimized crystal structure of Tl2FeTe (GGA-PBE).

Lattice parameters (Å, degrees): 4.871 4.202 6.422 90.00 112.19 90.00
Space group P2/m (No. 10)
Unique sites:
Tl  0.156  0.000  0.311
Fe  0.000  0.500  0.000
Te  0.500  0.500  0.000

Computed properties:
* ΔE to the lowest computed polymorph: 39.2 meV/atom
* ΔE_f (raw): 0.234 eV/atom

=====

5.
Entry from Alexandria via LeMat-Bulk: an optimized crystal structure of Tl2FeTe (GGA-PBE).

Lattice parameters (Å, degrees): 3.328 3.328 9.011 90.00 90.00 90.00
Space group P4mm (No. 99)
Unique sites:
Tl  0.000  0.000  0.000
Tl  0.500  0.500  0.302
Fe  0.000  0.000  0.527
Te  0.500  0.500  0.672

Computed properties:
* ΔE to the lowest computed polymorph: 21.7 meV/atom
* ΔE_f (raw): 0.217 eV/atom

=====

6.
Entry from Alexandria via LeMat-Bulk: an optimized crystal structure of TlFe2Te2 (GGA-PBE).

Lattice parameters (Å, degrees): 7.843 7.843 3.202 90.00 90.00 90.00
Space group P4/mbm (No. 127)
Unique sites:
Tl  0.000  0.000  0.000
Fe  0.122  0.378  0.000
Te  0.145  0.645  0.500

Computed properties:
* ΔE to the lowest computed polymorph: 441.7 meV/atom
* ΔE_f (raw): 0.506 eV/atom